[1]
5
Lattice="-4.275 -2.036 -0.945 1.369 -3.975 2.375 -1.753 1.807 4.035" Properties=species:S:1:pos:R:3 comment="CuSiAsSe2 GGA-PBE relaxed" m_tot_mub_per_atom=0.000 sg="P4/mmm, No. 123" crystal_system=tetragonal formation_energy_uncorrected_mev_per_atom=699.8 pbc="T T T"
Se -2.137 -1.018 -0.472
Cu -2.329 -2.102 2.732
Se 0.684 -1.987 1.187
Si 0.000 0.000 0.000
As -0.876 0.904 2.017

[2]
5
Lattice="5.350 0.000 0.000 0.000 5.350 0.000 0.000 0.000 5.350" Properties=species:S:1:pos:R:3 comment="TcTe3Cl GGA-PBE relaxed" m_tot_mub_per_atom=0.923 sg="Pm-3m, No. 221" crystal_system=cubic formation_energy_uncorrected_mev_per_atom=1315.0 pbc="T T T"
Te 2.675 0.000 0.000
Cl 0.000 0.000 0.000
Te 0.000 2.675 0.000
Te 0.000 0.000 2.675
Tc 2.675 2.675 2.675

| no. | relative energy among the computed polymorphs (meV per atom) |
| --- | --- |
| 1 | 106.6 |
| 2 | 970.9 |